No. 1
! Dy5ErIn (PBE, optimized geometry); values from VASP
! Calculated total energy ... -29.6 eV/cell
! Formation energy ... 0.10 eV per atom
! D(E_F) ... 1.249 states/eV per atom
! Total magnetization ... 0.0000 μB per atom
! Symmetry ... Imm2 (44)
&SYSTEM
  ibrav = 0, nat = 7, ntyp = 3
/
ATOMIC_SPECIES
Dy 162.50 Dy.upf
Er 167.26 Er.upf
In 114.82 In.upf
CELL_PARAMETERS angstrom
-3.132 3.204 5.464
3.132 -3.204 5.464
3.132 3.204 -5.464
ATOMIC_POSITIONS crystal
Dy 0.000 0.000 0.000
Dy 0.014 0.749 0.266
Dy 0.483 0.749 0.734
Dy 0.526 0.270 0.744
Dy 0.526 0.783 0.256
Er 0.863 0.363 0.500
In 0.275 0.275 0.000

---

No. 2
! TbTe2P2Pd7 (PBE, optimized geometry); values from VASP
! Calculated total energy ... -64.6 eV/cell
! D(E_F) ... 0.592 states/eV per atom
! Total magnetization ... 0.0000 μB per atom
! Symmetry ... C2/m (12)
! ΔE_f (raw) ... -6.55 eV per formula unit
&SYSTEM
  ibrav = 0, nat = 12, ntyp = 4
/
ATOMIC_SPECIES
Tb 158.93 Tb.upf
Te 127.60 Te.upf
P 30.97 P.upf
Pd 106.42 Pd.upf
CELL_PARAMETERS angstrom
2.837 -2.836 0.000
2.837 2.836 0.000
-2.818 0.000 14.523
ATOMIC_POSITIONS crystal
Tb 0.000 0.000 0.000
Te 0.208 0.208 0.417
Te 0.792 0.792 0.583
P 0.382 0.382 0.762
P 0.618 0.618 0.238
Pd 0.075 0.575 0.151
Pd 0.303 0.303 0.603
Pd 0.425 0.925 0.849
Pd 0.500 0.500 0.000
Pd 0.575 0.075 0.151
Pd 0.697 0.697 0.397
Pd 0.925 0.425 0.849

---

No. 3
! Ba2IrRu (PBE, optimized geometry); values from VASP
! Calculated total energy ... -19.0 eV/cell
! Formation energy ... 0.74 eV per atom
! D(E_F) ... 1.362 states/eV per atom
! Total magnetization ... 0.3728 μB per atom
! Symmetry ... P2/m (10)
&SYSTEM
  ibrav = 0, nat = 4, ntyp = 3
/
ATOMIC_SPECIES
Ba 137.33 Ba.upf
Ir 192.22 Ir.upf
Ru 101.07 Ru.upf
CELL_PARAMETERS angstrom
3.438 0.000 0.000
0.000 4.214 0.000
-0.016 0.000 7.520
ATOMIC_POSITIONS crystal
Ba 0.001 0.000 0.240
Ba 0.999 0.000 0.760
Ir 0.500 0.500 0.000
Ru 0.500 0.500 0.500

---

No. 4
! ReSbSe2Br (PBE, optimized geometry); values from VASP
! Calculated total energy ... -22.6 eV/cell
! D(E_F) ... 1.287 states/eV per atom
! Total magnetization ... 0.0004 μB per atom
! Symmetry ... P4/mmm (123)
! ΔE to the lowest computed polymorph ... 0.000 eV/atom
! ΔE_f (raw) ... 2.65 eV per formula unit
&SYSTEM
  ibrav = 0, nat = 5, ntyp = 4
/
ATOMIC_SPECIES
Re 186.21 Re.upf
Sb 121.76 Sb.upf
Se 78.96 Se.upf
Br 79.90 Br.upf
CELL_PARAMETERS angstrom
4.847 0.000 0.000
0.000 4.847 0.000
0.000 0.000 5.220
ATOMIC_POSITIONS crystal
Re 0.000 0.000 0.000
Sb 0.500 0.500 0.500
Se 0.000 0.500 0.000
Se 0.500 0.000 0.000
Br 0.000 0.000 0.500

---

No. 5
! NbSbPS2 (PBE, optimized geometry); values from VASP
! Calculated total energy ... -22.9 eV/cell
! D(E_F) ... 0.566 states/eV per atom
! Total magnetization ... 0.3827 μB per atom
! Symmetry ... P4/mmm (123)
! ΔE to the lowest computed polymorph ... 0.913 eV/atom
! ΔE_f (raw) ... 4.92 eV per formula unit
&SYSTEM
  ibrav = 0, nat = 5, ntyp = 4
/
ATOMIC_SPECIES
Nb 92.91 Nb.upf
Sb 121.76 Sb.upf
P 30.97 P.upf
S 32.06 S.upf
CELL_PARAMETERS angstrom
4.884 0.000 0.000
0.000 4.884 0.000
0.000 0.000 4.989
ATOMIC_POSITIONS crystal
Nb 0.000 0.000 0.000
Sb 0.500 0.500 0.500
P 0.500 0.500 0.000
S 0.000 0.500 0.500
S 0.500 0.000 0.500